Entry 1:
# PBE Ac2InGe4, optimized geometry
# - Formation energy: -2.67 eV per formula unit
# - E_tot: -4.586 eV/atom
data_Ac2InGe4
_symmetry_space_group_name_H-M 'F m m 2'
_symmetry_Int_Tables_number 42
_symmetry_space_group_name_Hall 'F 2 -2'
_cell_length_a 9.1395
_cell_length_b 9.1998
_cell_length_c 9.4994
_cell_angle_alpha 90.00
_cell_angle_beta 90.00
_cell_angle_gamma 90.00
loop_
_atom_site_label
_atom_site_type_symbol
_atom_site_fract_x
_atom_site_fract_y
_atom_site_fract_z
Ac1 Ac 0.2500 0.2500 0.0000
In1 In 0.0000 0.0000 0.3442
Ge1 Ge 0.0000 0.2022 0.7443
Ge2 Ge 0.2034 0.0000 0.7405

Entry 2:
# PBE TlMoRu2, optimized geometry
# - Formation energy: 2.86 eV per formula unit
# - E_tot: -7.222 eV/atom
# - Energy relative to the lowest polymorph listed for this composition: 0.413 eV/atom
data_TlMoRu2
_symmetry_space_group_name_H-M 'F -4 3 m'
_symmetry_Int_Tables_number 216
_symmetry_space_group_name_Hall 'F -4 2 3'
_cell_length_a 6.4291
_cell_length_b 6.4291
_cell_length_c 6.4291
_cell_angle_alpha 90.00
_cell_angle_beta 90.00
_cell_angle_gamma 90.00
loop_
_atom_site_label
_atom_site_type_symbol
_atom_site_fract_x
_atom_site_fract_y
_atom_site_fract_z
Tl1 Tl 0.0000 0.0000 0.0000
Mo1 Mo 0.2500 0.2500 0.2500
Ru1 Ru 0.0000 0.0000 0.5000
Ru2 Ru 0.2500 0.2500 0.7500